[1]
A plane-wave DFT calculation with PBE-GGA was carried out for a relaxed structure of Ac2PrAs2Se2.

Calculated values
Calculated total energy, eV/atom: -5.423
Space-group type: I4/mmm

a b c (Å): 8.8168 8.8168 8.8168
angles (deg): 143.74 143.74 52.22
Sites, in units of the cell vectors:
Ac  0.1276  0.1276  0.0000
Ac  0.8724  0.8724  0.0000
Pr  0.5000  0.5000  0.0000
As  0.0000  0.5000  0.5000
As  0.5000  0.0000  0.5000
Se  0.3142  0.3142  0.0000
Se  0.6858  0.6858  0.0000

---

[2]
A plane-wave DFT calculation with PBE-GGA was carried out for a relaxed structure of AcPrAsSe.

Calculated values
Calculated total energy, eV/atom: -5.979
Space-group type: R3m

a b c (Å): 7.6568 7.6568 7.6568
angles (deg): 33.35 33.35 33.35
Sites, in units of the cell vectors:
Ac  0.0000  0.0000  0.0000
Pr  0.5067  0.5067  0.5067
As  0.2493  0.2493  0.2493
Se  0.7570  0.7570  0.7570

---

[3]
A plane-wave DFT calculation with PBE-GGA was carried out for a relaxed structure of AcPr2SmAs4.

Calculated values
Formation energy from the elements, kJ/mol of formula units: -1142
Space-group type: P2/m

a b c (Å): 7.5315 4.3510 7.5327
angles (deg): 90.00 109.39 90.00
Sites, in units of the cell vectors:
Ac  0.0000  0.0000  0.0000
Pr  0.5000  0.0000  0.5000
Pr  0.5000  0.5000  0.0000
Sm  0.0000  0.5000  0.5000
As  0.2503  0.0000  0.7426
As  0.2561  0.5000  0.2600
As  0.7439  0.5000  0.7400
As  0.7497  0.0000  0.2574

---

[4]
A plane-wave DFT calculation with PBE-GGA was carried out for a relaxed structure of Ac2PrSmAs4.

Calculated values
Formation energy from the elements, kJ/mol of formula units: -1142
Space-group type: P2/m

a b c (Å): 7.6272 4.4072 7.6407
angles (deg): 90.00 109.41 90.00
Sites, in units of the cell vectors:
Ac  0.0000  0.0000  0.0000
Ac  0.5000  0.5000  0.0000
Pr  0.0000  0.5000  0.5000
Sm  0.5000  0.0000  0.5000
As  0.2480  0.0000  0.7362
As  0.2574  0.5000  0.2653
As  0.7426  0.5000  0.7347
As  0.7520  0.0000  0.2638

---

[5]
A plane-wave DFT calculation with PBE-GGA was carried out for a relaxed structure of Ac2Pr3SmAs6.

Calculated values
Formation energy from the elements, kJ/mol of formula units: -1709
Space-group type: C2/m

a b c (Å): 9.7882 9.7882 8.7644
angles (deg): 102.99 102.99 25.84
Sites, in units of the cell vectors:
Ac  0.1651  0.1651  0.3308
Ac  0.8349  0.8349  0.6692
Pr  0.1665  0.1665  0.8350
Pr  0.5000  0.5000  0.5000
Pr  0.8335  0.8335  0.1650
Sm  0.5000  0.5000  0.0000
As  0.0032  0.0032  0.7559
As  0.3354  0.3354  0.9260
As  0.3361  0.3361  0.4096
As  0.6639  0.6639  0.5904
As  0.6646  0.6646  0.0740
As  0.9968  0.9968  0.2441

---

[6]
A plane-wave DFT calculation with PBE-GGA was carried out for a relaxed structure of AcPrSm2As4.

Calculated values
Formation energy from the elements, kJ/mol of formula units: -1149
Space-group type: P2/m

a b c (Å): 7.4904 4.3251 7.4907
angles (deg): 90.00 109.41 90.00
Sites, in units of the cell vectors:
Ac  0.0000  0.0000  0.0000
Pr  0.0000  0.5000  0.5000
Sm  0.5000  0.0000  0.5000
Sm  0.5000  0.5000  0.0000
As  0.2594  0.0000  0.7480
As  0.2635  0.5000  0.2599
As  0.7365  0.5000  0.7401
As  0.7406  0.0000  0.2520

---

[7]
A plane-wave DFT calculation with PBE-GGA was carried out for a relaxed structure of SrAc2PrAs4.

Calculated values
Formation energy from the elements, kJ/mol of formula units: -1014
Space-group type: P2/m

a b c (Å): 7.7158 4.4820 7.7848
angles (deg): 90.00 109.59 90.00
Sites, in units of the cell vectors:
Sr  0.0000  0.0000  0.0000
Ac  0.5000  0.0000  0.5000
Ac  0.5000  0.5000  0.0000
Pr  0.0000  0.5000  0.5000
As  0.2420  0.0000  0.7412
As  0.2471  0.5000  0.2562
As  0.7529  0.5000  0.7438
As  0.7580  0.0000  0.2588

---

[8]
A plane-wave DFT calculation with PBE-GGA was carried out for a relaxed structure of SrAcPr2As4.

Calculated values
Formation energy from the elements, kJ/mol of formula units: -1025
Space-group type: P2/m

a b c (Å): 7.6137 4.4049 7.6962
angles (deg): 90.00 109.32 90.00
Sites, in units of the cell vectors:
Sr  0.0000  0.0000  0.0000
Ac  0.5000  0.5000  0.0000
Pr  0.0000  0.5000  0.5000
Pr  0.5000  0.0000  0.5000
As  0.2464  0.0000  0.7365
As  0.2565  0.5000  0.2648
As  0.7435  0.5000  0.7352
As  0.7536  0.0000  0.2635

---

[9]
A plane-wave DFT calculation with PBE-GGA was carried out for a relaxed structure of Ac2TbPrAs4.

Calculated values
Formation energy from the elements, kJ/mol of formula units: -1137
Space-group type: P2/m

a b c (Å): 7.5959 4.3896 7.6082
angles (deg): 90.00 109.41 90.00
Sites, in units of the cell vectors:
Ac  0.0000  0.0000  0.0000
Ac  0.5000  0.5000  0.0000
Tb  0.0000  0.5000  0.5000
Pr  0.5000  0.0000  0.5000
As  0.2396  0.0000  0.7318
As  0.2505  0.5000  0.2654
As  0.7495  0.5000  0.7346
As  0.7604  0.0000  0.2682

---

[10]
A plane-wave DFT calculation with PBE-GGA was carried out for a relaxed structure of AcTbPr2As4.

Calculated values
Formation energy from the elements, kJ/mol of formula units: -1135
Space-group type: P2/m

a b c (Å): 7.5019 4.3346 7.5022
angles (deg): 90.00 109.38 90.00
Sites, in units of the cell vectors:
Ac  0.0000  0.0000  0.0000
Tb  0.5000  0.5000  0.0000
Pr  0.0000  0.5000  0.5000
Pr  0.5000  0.0000  0.5000
As  0.2604  0.0000  0.7527
As  0.2617  0.5000  0.2545
As  0.7383  0.5000  0.7455
As  0.7396  0.0000  0.2473

---

[11]
A plane-wave DFT calculation with PBE-GGA was carried out for a relaxed structure of AcTb2PrAs4.

Calculated values
Formation energy from the elements, kJ/mol of formula units: -1148
Space-group type: P2/m

a b c (Å): 7.4231 4.2885 7.4285
angles (deg): 90.00 109.43 90.00
Sites, in units of the cell vectors:
Ac  0.0000  0.0000  0.0000
Tb  0.5000  0.0000  0.5000
Tb  0.5000  0.5000  0.0000
Pr  0.0000  0.5000  0.5000
As  0.2639  0.0000  0.7495
As  0.2682  0.5000  0.2614
As  0.7318  0.5000  0.7386
As  0.7361  0.0000  0.2505

---

[12]
A plane-wave DFT calculation with PBE-GGA was carried out for a relaxed structure of AcPrTeAs.

Calculated values
Calculated total energy, eV/atom: -5.714
Space-group type: R3m

a b c (Å): 8.0064 8.0064 8.0064
angles (deg): 32.52 32.52 32.52
Sites, in units of the cell vectors:
Ac  0.0000  0.0000  0.0000
Pr  0.4816  0.4816  0.4816
Te  0.2369  0.2369  0.2369
As  0.7447  0.7447  0.7447

---

[13]
A plane-wave DFT calculation with PBE-GGA was carried out for a relaxed structure of Ac2PrTe2As2.

Calculated values
Calculated total energy, eV/atom: -5.209
Space-group type: I4/mmm

a b c (Å): 9.2783 9.2783 9.2783
angles (deg): 145.67 145.67 49.33
Sites, in units of the cell vectors:
Ac  0.1207  0.1207  0.0000
Ac  0.8793  0.8793  0.0000
Pr  0.5000  0.5000  0.0000
Te  0.3139  0.3139  0.0000
Te  0.6861  0.6861  0.0000
As  0.0000  0.5000  0.5000
As  0.5000  0.0000  0.5000

---

[14]
A plane-wave DFT calculation with PBE-GGA was carried out for a relaxed structure of Ac3Pr2ThAs6.

Calculated values
Formation energy from the elements, kJ/mol of formula units: -1716
Space-group type: C2/m

a b c (Å): 9.8770 9.8770 8.8488
angles (deg): 103.19 103.19 25.79
Sites, in units of the cell vectors:
Ac  0.0000  0.0000  0.0000
Ac  0.3321  0.3321  0.6678
Ac  0.6679  0.6679  0.3322
Pr  0.3328  0.3328  0.1649
Pr  0.6672  0.6672  0.8351
Th  0.0000  0.0000  0.5000
As  0.1612  0.1612  0.5880
As  0.1691  0.1691  0.0768
As  0.4977  0.4977  0.2631
As  0.5023  0.5023  0.7369
As  0.8309  0.8309  0.9232
As  0.8388  0.8388  0.4120

---

[15]
A plane-wave DFT calculation with PBE-GGA was carried out for a relaxed structure of AcPr3Th2As6.

Calculated values
Formation energy from the elements, kJ/mol of formula units: -1703
Space-group type: C2/m

a b c (Å): 9.6683 9.6683 8.6563
angles (deg): 102.78 102.78 25.87
Sites, in units of the cell vectors:
Ac  0.0000  0.0000  0.0000
Pr  0.0000  0.0000  0.5000
Pr  0.3349  0.3349  0.1673
Pr  0.6651  0.6651  0.8327
Th  0.3328  0.3328  0.6663
Th  0.6672  0.6672  0.3337
As  0.1682  0.1682  0.5795
As  0.1704  0.1704  0.0911
As  0.4968  0.4968  0.7395
As  0.5032  0.5032  0.2605
As  0.8296  0.8296  0.9089
As  0.8318  0.8318  0.4205

---

[16]
A plane-wave DFT calculation with PBE-GGA was carried out for a relaxed structure of Ac4PrTh3As8.

Calculated values
Formation energy from the elements, kJ/mol of formula units: -2256
Space-group type: R-3m

a b c (Å): 8.8237 8.8237 8.8237
angles (deg): 59.62 59.62 59.62
Sites, in units of the cell vectors:
Ac  0.0000  0.0000  0.0000
Ac  0.0000  0.5000  0.5000
Ac  0.5000  0.0000  0.5000
Ac  0.5000  0.5000  0.0000
Pr  0.5000  0.5000  0.5000
Th  0.0000  0.0000  0.5000
Th  0.0000  0.5000  0.0000
Th  0.5000  0.0000  0.0000
As  0.2404  0.7459  0.7459
As  0.2435  0.2435  0.2435
As  0.2541  0.2541  0.7596
As  0.2541  0.7596  0.2541
As  0.7459  0.2404  0.7459
As  0.7459  0.7459  0.2404
As  0.7565  0.7565  0.7565
As  0.7596  0.2541  0.2541

---

[17]
A plane-wave DFT calculation with PBE-GGA was carried out for a relaxed structure of Ac3PrTh2As6.

Calculated values
Formation energy from the elements, kJ/mol of formula units: -1701
Space-group type: C2/m

a b c (Å): 7.6064 7.6064 7.6532
angles (deg): 99.52 99.52 120.03
Sites, in units of the cell vectors:
Ac  0.0000  0.0000  0.0000
Ac  0.3347  0.6653  0.0000
Ac  0.6653  0.3347  0.0000
Pr  0.5000  0.5000  0.5000
Th  0.1670  0.8330  0.5000
Th  0.8330  0.1670  0.5000
As  0.0845  0.4223  0.2673
As  0.2392  0.2392  0.7319
As  0.4223  0.0845  0.2673
As  0.5777  0.9155  0.7327
As  0.7608  0.7608  0.2681
As  0.9155  0.5777  0.7327

---

[18]
A plane-wave DFT calculation with PBE-GGA was carried out for a relaxed structure of AcPr2UAs4.

Calculated values
Formation energy from the elements, kJ/mol of formula units: -963
Space-group type: F222

a b c (Å): 7.4848 7.4743 6.1075
angles (deg): 65.99 65.81 48.19
Sites, in units of the cell vectors:
Ac  0.0000  0.0000  0.0000
Pr  0.2500  0.2500  0.2500
Pr  0.5000  0.5000  0.5000
U  0.7500  0.7500  0.7500
As  0.2546  0.2546  0.7454
As  0.5113  0.5113  0.9887
As  0.7454  0.7454  0.2546
As  0.9887  0.9887  0.5113

---

[19]
A plane-wave DFT calculation with PBE-GGA was carried out for a relaxed structure of Ac2PrUAs4.

Calculated values
Formation energy from the elements, kJ/mol of formula units: -950
Space-group type: F222

a b c (Å): 7.5842 7.5748 6.2014
angles (deg): 65.93 65.77 48.30
Sites, in units of the cell vectors:
Ac  0.0000  0.0000  0.0000
Ac  0.2500  0.2500  0.2500
Pr  0.7500  0.7500  0.7500
U  0.5000  0.5000  0.5000
As  0.2651  0.2651  0.7349
As  0.5050  0.5050  0.9950
As  0.7349  0.7349  0.2651
As  0.9950  0.9950  0.5050

---

[20]
A plane-wave DFT calculation with PBE-GGA was carried out for a relaxed structure of AcPrY2As4.

Calculated values
Formation energy from the elements, kJ/mol of formula units: -1154
Space-group type: P2/m

a b c (Å): 7.4077 4.2819 7.4177
angles (deg): 90.00 109.45 90.00
Sites, in units of the cell vectors:
Ac  0.0000  0.0000  0.0000
Pr  0.0000  0.5000  0.5000
Y  0.5000  0.0000  0.5000
Y  0.5000  0.5000  0.0000
As  0.2644  0.0000  0.7497
As  0.2687  0.5000  0.2616
As  0.7313  0.5000  0.7384
As  0.7356  0.0000  0.2503

---

[21]
A plane-wave DFT calculation with PBE-GGA was carried out for a relaxed structure of Ac2AsPt3.

Calculated values
Formation energy from the elements, kJ/mol of formula units: -664
Space-group type: Fmmm

a b c (Å): 9.0056 8.8650 6.1661
angles (deg): 71.05 68.59 40.36
Sites, in units of the cell vectors:
Ac  0.2397  0.7603  0.7603
Ac  0.2500  0.2500  0.2500
Ac  0.7500  0.7500  0.7500
Ac  0.7603  0.2397  0.2397
As  0.3342  0.3342  0.6658
As  0.6658  0.6658  0.3342
Pt  0.1711  0.1711  0.8289
Pt  0.1710  0.6588  0.3412
Pt  0.3412  0.8290  0.1710
Pt  0.6588  0.1710  0.8290
Pt  0.8290  0.3412  0.6588
Pt  0.8289  0.8289  0.1711

---

[22]
A plane-wave DFT calculation with PBE-GGA was carried out for a relaxed structure of Ac2AsPt.

Calculated values
E above lowest polymorph, meV/atom: 834
Formation energy from the elements, kJ/mol of formula units: -182
Space-group type: R-3m

a b c (Å): 9.4294 9.4294 9.4294
angles (deg): 27.62 27.62 27.62
Sites, in units of the cell vectors:
Ac  0.1013  0.1013  0.1013
Ac  0.8987  0.8987  0.8987
As  0.5000  0.5000  0.5000
Pt  0.0000  0.0000  0.0000

---

[23]
A plane-wave DFT calculation with PBE-GGA was carried out for a relaxed structure of AcAs3Pt.

Calculated values
Formation energy from the elements, kJ/mol of formula units: -163
Space-group type: Pm-3m

a b c (Å): 5.0019 5.0019 5.0019
angles (deg): 90.00 90.00 90.00
Sites, in units of the cell vectors:
Ac  0.0000  0.0000  0.0000
As  0.0000  0.5000  0.5000
As  0.5000  0.0000  0.5000
As  0.5000  0.5000  0.0000
Pt  0.5000  0.5000  0.5000

---

[24]
A plane-wave DFT calculation with PBE-GGA was carried out for a relaxed structure of AcAs2Pt.

Calculated values
E above lowest polymorph, meV/atom: 54
Formation energy from the elements, kJ/mol of formula units: -200
Space-group type: P4/mmm

a b c (Å): 4.5618 4.5618 4.3683
angles (deg): 90.00 90.00 90.00
Sites, in units of the cell vectors:
Ac  0.0000  0.0000  0.0000
As  0.0000  0.5000  0.5000
As  0.5000  0.0000  0.5000
Pt  0.5000  0.5000  0.0000